Entry 1:
Compound: NdRe2Si3
Source: Alexandria via LeMat-Bulk
Functional: PBE
Structure: optimized geometry

Unit cell a=6.191 b=6.191 c=5.574 alpha=90.00 beta=90.00 gamma=76.28
Atoms (fractional coordinates):
Nd1 0.165 0.835 0.750
Nd2 0.835 0.165 0.250
Re1 0.296 0.296 0.000
Re2 0.296 0.296 0.500
Re3 0.704 0.704 0.000
Re4 0.704 0.704 0.500
Si1 0.037 0.610 0.250
Si2 0.390 0.963 0.250
Si3 0.432 0.568 0.250
Si4 0.568 0.432 0.750
Si5 0.610 0.037 0.750
Si6 0.963 0.390 0.750

Final energy = -96.340 eV for the cell shown
Total moment = 0.0 μB/cell
Crystal system = orthorhombic

Entry 2:
Compound: TbNdDyTl
Source: Alexandria via LeMat-Bulk
Functional: PBE
Structure: optimized geometry

Unit cell a=4.858 b=4.922 c=4.941 alpha=90.00 beta=90.00 gamma=90.00
Atoms (fractional coordinates):
Tb1 0.000 0.000 0.000
Nd1 0.500 0.500 0.000
Dy1 0.000 0.500 0.500
Tl1 0.500 0.000 0.500

Total moment = 0.5 μB/cell
Crystal system = orthorhombic
ΔE to the lowest computed polymorph = 0.0 meV per atom

- Number 2 is which compound?
  TbNdDyTl